Material: Tb3GaSi2Rh9
Method: DFT, PBE-GGA
State: optimized geometry

```
Tb3GaSi2Rh9
1.0
6.3439 0.0000 0.0000
-3.1719 5.4940 0.0000
0.0000 0.0000 7.8291
Tb Ga Si Rh
3 1 2 9
Cartesian
0.0000 0.0000 0.0000
0.0000 3.6626 5.1780
3.1719 1.8313 2.6511
0.0000 0.0000 3.9146
0.0000 3.6626 1.2621
3.1719 1.8313 6.5670
-1.5860 2.7470 0.0000
0.0000 1.8740 2.5531
-1.5490 4.5570 2.5531
1.6229 0.9370 5.2760
3.1719 0.0000 0.0000
1.5860 2.7470 0.0000
1.5490 4.5570 2.5531
4.7210 0.9370 5.2760
3.1719 3.6200 5.2760
```

The value obtained for the energy relative to the elements, uncorrected is -549 meV/atom. The total energy comes out at -102.17 eV per cell.



Material: Sc8HO2
Method: DFT, PBE-GGA
State: optimized geometry

```
Sc8HO2
1.0
5.1310 -3.8396 0.0000
5.1310 3.8396 0.0000
-0.0083 0.0000 4.8714
Sc H O
8 1 2
Cartesian
4.0359 2.1930 3.6473
1.8136 0.0000 3.6379
6.2179 2.1930 1.2241
4.0233 0.0000 1.2019
6.2305 0.0000 3.6694
4.0359 -2.1930 3.6473
8.4402 0.0000 1.2335
6.2179 -2.1930 1.2241
0.0000 0.0000 0.0000
3.9724 0.0000 3.6354
6.2813 0.0000 1.2360
```

The total energy comes out at -76.20 eV per cell.



Material: TlSe3F
Method: DFT, PBE-GGA
State: optimized geometry

```
TlSe3F
1.0
5.4163 0.0000 0.0000
0.0000 5.4163 0.0000
0.0000 0.0000 5.4163
Tl Se F
1 3 1
Cartesian
0.0000 0.0000 0.0000
0.0000 0.0000 2.7081
0.0000 2.7081 0.0000
2.7081 0.0000 0.0000
2.7081 2.7081 2.7081
```

The value obtained for the energy relative to the elements, uncorrected is 697 meV/atom. The total energy comes out at -11.20 eV per cell.